# MgZn2Ga6 (PBE, relaxed)
data_MgZn2Ga6
_cell_length_a 6.0735
_cell_length_b 6.0735
_cell_length_c 17.2770
_cell_angle_alpha 90.00
_cell_angle_beta 90.00
_cell_angle_gamma 120.00
_space_group_name_H-M_alt 'R 3'
_space_group_IT_number 146
_space_group_name_Hall 'R 3'
loop_
_atom_site_label
_atom_site_type_symbol
_atom_site_fract_x
_atom_site_fract_y
_atom_site_fract_z
Mg1 Mg 0.0000 0.0000 0.0000
Zn1 Zn 0.0000 0.0000 0.5797
Zn2 Zn 0.0000 0.0000 0.7236
Ga1 Ga 0.0991 0.6959 0.1009
Ga2 Ga 0.1117 0.3600 0.8792
# N(E_F) = 0.345 states/eV/atom
# E_form = 102 meV/atom
# Calculated volume = 20.441 Å³/atom



# LaAl4Ag8 (PBE, relaxed)
data_LaAl4Ag8
_cell_length_a 9.453
_cell_length_b 9.453
_cell_length_c 5.389
_cell_angle_alpha 90.00
_cell_angle_beta 90.00
_cell_angle_gamma 90.00
_space_group_name_H-M_alt 'I 4/m m m'
_space_group_IT_number 139
_space_group_name_Hall '-I 4 2'
loop_
_atom_site_label
_atom_site_type_symbol
_atom_site_fract_x
_atom_site_fract_y
_atom_site_fract_z
La1 La 0.000 0.000 0.000
Al1 Al 0.250 0.250 0.250
Ag1 Ag 0.000 0.219 0.500
Ag2 Ag 0.000 0.346 0.000
# N(E_F) = 0.411 states/eV/atom
# E_form = -210 meV/atom
# Calculated volume = 18.521 Å³/atom



# MgNb2HAu (PBE, relaxed)
data_MgNb2HAu
_cell_length_a 3.979
_cell_length_b 3.979
_cell_length_c 4.705
_cell_angle_alpha 90.00
_cell_angle_beta 90.00
_cell_angle_gamma 90.00
_space_group_name_H-M_alt 'P 4/m m m'
_space_group_IT_number 123
_space_group_name_Hall '-P 4 2'
loop_
_atom_site_label
_atom_site_type_symbol
_atom_site_fract_x
_atom_site_fract_y
_atom_site_fract_z
Mg1 Mg 0.000 0.000 0.000
Nb1 Nb 0.000 0.500 0.500
H1 H 0.000 0.000 0.500
Au1 Au 0.500 0.500 0.000
# N(E_F) = 0.676 states/eV/atom
# Calculated volume = 14.899 Å³/atom
# Total DFT energy (no corrections) = -5.822 eV per atom



# PuBP2 (PBE, relaxed)
data_PuBP2
_cell_length_a 3.369
_cell_length_b 3.369
_cell_length_c 11.038
_cell_angle_alpha 90.00
_cell_angle_beta 90.00
_cell_angle_gamma 90.00
_space_group_name_H-M_alt 'I -4 m 2'
_space_group_IT_number 119
_space_group_name_Hall 'I -4 -2'
loop_
_atom_site_label
_atom_site_type_symbol
_atom_site_fract_x
_atom_site_fract_y
_atom_site_fract_z
Pu1 Pu 0.000 0.000 0.000
B1 B 0.000 0.500 0.750
P1 P 0.000 0.000 0.352
# N(E_F) = 1.873 states/eV/atom
# E_form = -396 meV/atom
# Calculated volume = 15.657 Å³/atom



# Ag3RuCl6F2 (PBE, relaxed)
data_Ag3RuCl6F2
_cell_length_a 13.880
_cell_length_b 7.028
_cell_length_c 5.918
_cell_angle_alpha 90.00
_cell_angle_beta 110.04
_cell_angle_gamma 90.00
_space_group_name_H-M_alt 'C 1 2/m 1'
_space_group_IT_number 12
loop_
_space_group_symop_operation_xyz
'x,y,z'
'-x,-y,-z'
'-x,y,-z'
'x,-y,z'
'x+1/2,y+1/2,z'
'-x+1/2,-y+1/2,-z'
'-x+1/2,y+1/2,-z'
'x+1/2,-y+1/2,z'
loop_
_atom_site_label
_atom_site_type_symbol
_atom_site_fract_x
_atom_site_fract_y
_atom_site_fract_z
Ag1 Ag 0.000 0.000 0.000
Ag2 Ag 0.250 0.250 0.500
Ru1 Ru 0.000 0.500 0.500
Cl1 Cl 0.098 0.263 0.753
Cl2 Cl 0.111 0.500 0.278
F1 F 0.155 0.000 0.290
# N(E_F) = 0.621 states/eV/atom
# E_form (uncorrected) = -7.60 eV/f.u.
# Calculated volume = 22.598 Å³/atom



# Ba2NiAu (PBE, relaxed)
data_Ba2NiAu
_cell_length_a 8.172
_cell_length_b 8.172
_cell_length_c 8.109
_cell_angle_alpha 90.00
_cell_angle_beta 90.00
_cell_angle_gamma 90.00
_space_group_name_H-M_alt 'I -4 2 d'
_space_group_IT_number 122
_space_group_name_Hall 'I -4 2bw'
loop_
_atom_site_label
_atom_site_type_symbol
_atom_site_fract_x
_atom_site_fract_y
_atom_site_fract_z
Ba1 Ba 0.222 0.750 0.125
Ni1 Ni 0.000 0.000 0.000
Au1 Au 0.000 0.000 0.500
# N(E_F) = 0.977 states/eV/atom
# E_form = 2 meV/atom
# Calculated volume = 33.850 Å³/atom